[1]
A plane-wave DFT calculation with PBE was carried out for a relaxed Tb3PmHg6 crystal.

Output
Calculated formation energy ... -4.38 eV per formula unit
Raw total energy ... -49.66 eV for the cell shown
Total moment ... 0.000 μB/atom
V ... 257.8 Å³/f.u.

Cell lengths 9.2412, 5.1957, 11.2290 Å; angles 90.00, 106.96, 90.00 degrees
Space group P2_1/m (No. 11)
Symmetry-distinct sites (fractional):
Tb: 0.0116 0.2500 0.3864
Tb: 0.1471 0.7500 0.1981
Tb: 0.2714 0.2500 0.9945
Pm: 0.4345 0.2500 0.6139
Hg: 0.0361 0.7500 0.9082
Hg: 0.1460 0.2500 0.7069
Hg: 0.2507 0.7500 0.4836
Hg: 0.3305 0.2500 0.3106
Hg: 0.3604 0.7500 0.7964
Hg: 0.4368 0.7500 0.0961

=====

[2]
A plane-wave DFT calculation with PBE was carried out for a relaxed ZnOs2Rh crystal.

Output
Calculated formation energy ... 0.64 eV per formula unit
Raw total energy ... -91.34 eV for the cell shown
Total moment ... 0.000 μB/atom
V ... 56.9 Å³/f.u.

Cell lengths 2.7194, 2.7194, 26.6453 Å; angles 90.00, 90.00, 120.00 degrees
Space group R-3m (No. 166, hexagonal axes)
Symmetry-distinct sites (fractional):
Zn: 0.0000 0.0000 0.0000
Os: 0.0000 0.0000 0.2497
Rh: 0.0000 0.0000 0.5000

=====

[3]
A plane-wave DFT calculation with PBE was carried out for a relaxed Cs2Tb3Te6 crystal.

Output
Raw total energy ... -97.70 eV for the cell shown
Total moment ... 0.000 μB/atom
V ... 469.9 Å³/f.u.
ΔE_f (raw) ... -1.31 eV per atom

Cell lengths 7.6243, 13.2078, 9.6735 Å; angles 90.00, 105.27, 90.00 degrees
Space group C2/m (No. 12)
Symmetry-distinct sites (fractional):
Cs: 0.0000 0.1664 0.0000
Tb: 0.0000 0.0000 0.5000
Tb: 0.0000 0.3325 0.5000
Te: 0.2280 0.5000 0.6907
Te: 0.2318 0.1655 0.6915

=====

[4]
A plane-wave DFT calculation with PBE was carried out for a relaxed HoErGaAu crystal.

Output
Calculated formation energy ... -2.83 eV per formula unit
Raw total energy ... -73.11 eV for the cell shown
Total moment ... 0.000 μB/atom
V ... 91.8 Å³/f.u.

Cell lengths 7.1615, 7.1615, 7.1615 Å; angles 90.00, 90.00, 90.00 degrees
Space group F-43m (No. 216)
Symmetry-distinct sites (fractional):
Ho: 0.0000 0.0000 0.0000
Er: 0.0000 0.0000 0.5000
Ga: 0.2500 0.2500 0.2500
Au: 0.2500 0.2500 0.7500